[1]
CsSb3As | GGA-PBE | relaxed

Properties
space-group type: No. 6
ΔE_f (raw): -0.44 eV/f.u.
magnetic moment: 0.000 μB per formula unit

abc: 5.5177 7.5285 9.4112
angles: 90.00 93.16 90.00
Fractional positions:
Cs (0.0000, 0.0000, 0.0000)
Cs (0.4946, 0.5000, 0.8105)
Sb (0.0033, 0.5000, 0.1674)
Sb (0.3799, 0.0000, 0.6264)
Sb (0.5282, 0.3050, 0.2023)
Sb (0.5282, 0.6950, 0.2023)
Sb (0.9701, 0.2427, 0.5781)
Sb (0.9701, 0.7573, 0.5781)
As (0.2214, 0.5000, 0.4287)
As (0.7013, 0.0000, 0.4111)

[2]
CsSbAs3 | GGA-PBE | relaxed

Properties
space-group type: No. 221
ΔE_f (raw): 2.12 eV/f.u.
magnetic moment: 0.000 μB per formula unit

abc: 5.4859 5.4859 5.4859
angles: 90.00 90.00 90.00
Fractional positions:
Cs (0.0000, 0.0000, 0.0000)
Sb (0.5000, 0.5000, 0.5000)
As (0.0000, 0.5000, 0.5000)
As (0.5000, 0.0000, 0.5000)
As (0.5000, 0.5000, 0.0000)

[3]
CsSbAs | GGA-PBE | relaxed

Properties
space-group type: No. 14
ΔE_f (raw): -0.93 eV/f.u.
magnetic moment: 0.000 μB per formula unit

abc: 7.8367 7.9110 11.4609
angles: 90.00 125.35 90.00
Fractional positions:
Cs (0.1470, 0.1940, 0.4489)
Cs (0.1470, 0.3060, 0.9489)
Cs (0.8530, 0.6940, 0.0511)
Cs (0.8530, 0.8060, 0.5511)
Sb (0.3245, 0.6686, 0.4828)
Sb (0.3245, 0.8314, 0.9828)
Sb (0.6755, 0.1686, 0.0172)
Sb (0.6755, 0.3314, 0.5172)
As (0.3751, 0.5068, 0.3059)
As (0.3751, 0.9932, 0.8059)
As (0.6249, 0.0068, 0.1941)
As (0.6249, 0.4932, 0.6941)